# 1
## TiCoSi2 (PBE)

Data for TiCoSi2 after structural relaxation.

Cell lengths 4.1866, 4.1866, 4.1866 Å; angles 60.00, 60.00, 60.00 degrees
With the nearest neighbours (Å) after each atom.
Positions (direct):
Ti 0.0000 0.0000 0.0000  8 Si 2.56
Co 0.5000 0.5000 0.5000  8 Si 2.56
Si 0.2500 0.2500 0.2500  4 Co 2.56, 4 Ti 2.56
Si 0.7500 0.7500 0.7500  4 Co 2.56, 4 Ti 2.56

electronic total energy	-6.6948	eV/atom
DOS at the Fermi energy	6.1	states/eV/f.u.
space-group type	Fm-3m (225)
formation energy without anion corrections	-233	meV/atom


# 2
## TiCo6Si (PBE)

Data for TiCo6Si after structural relaxation.

Cell lengths 6.2258, 6.2258, 10.4154 Å; angles 90.00, 90.00, 116.95 degrees
With the nearest neighbours (Å) after each atom.
Positions (direct):
Ti 0.0000 0.0000 0.2493  12 Co 2.46-2.63
Ti 0.0000 0.0000 0.7507  12 Co 2.46-2.63
Ti 0.2291 0.7709 0.5000  11 Co 2.43-2.65
Ti 0.7709 0.2291 0.5000  11 Co 2.43-2.65
Co 0.0000 0.0000 0.0000  2 Si 2.38, 2 Ti 2.60, 8 Co 2.60
Co 0.0000 0.0000 0.5000  4 Ti 2.43-2.61, 8 Co 2.62
Co 0.1475 0.4066 0.1216  7 Co 2.37-2.60, 3 Si 2.37-2.47, 1 Ti 2.63
Co 0.1475 0.4066 0.8784  7 Co 2.37-2.60, 3 Si 2.37-2.47, 1 Ti 2.63
Co 0.1521 0.4026 0.3704  1 Si 2.37, 5 Co 2.39-2.62, 3 Ti 2.51-2.57
Co 0.1521 0.4026 0.6296  1 Si 2.37, 5 Co 2.39-2.62, 3 Ti 2.51-2.57
Co 0.2315 0.7685 0.2458  8 Co 2.44-2.49, 2 Ti 2.46-2.65, 1 Si 2.56
Co 0.2315 0.7685 0.7542  8 Co 2.44-2.49, 2 Ti 2.46-2.65, 1 Si 2.56
Co 0.4026 0.1521 0.3704  1 Si 2.37, 5 Co 2.39-2.62, 3 Ti 2.51-2.57
Co 0.4026 0.1521 0.6296  1 Si 2.37, 5 Co 2.39-2.62, 3 Ti 2.51-2.57
Co 0.4066 0.1475 0.1216  7 Co 2.37-2.60, 3 Si 2.37-2.47, 1 Ti 2.63
Co 0.4066 0.1475 0.8784  7 Co 2.37-2.60, 3 Si 2.37-2.47, 1 Ti 2.63
Co 0.5000 0.5000 0.0000  8 Co 2.37, 2 Si 2.54
Co 0.5000 0.5000 0.5000  8 Co 2.39, 2 Si 2.67
Co 0.5934 0.8525 0.1216  7 Co 2.37-2.60, 3 Si 2.37-2.47, 1 Ti 2.63
Co 0.5934 0.8525 0.8784  7 Co 2.37-2.60, 3 Si 2.37-2.47, 1 Ti 2.63
Co 0.5974 0.8479 0.3704  1 Si 2.37, 5 Co 2.39-2.62, 3 Ti 2.51-2.57
Co 0.5974 0.8479 0.6296  1 Si 2.37, 5 Co 2.39-2.62, 3 Ti 2.51-2.57
Co 0.7685 0.2315 0.2458  8 Co 2.44-2.49, 2 Ti 2.46-2.65, 1 Si 2.56
Co 0.7685 0.2315 0.7542  8 Co 2.44-2.49, 2 Ti 2.46-2.65, 1 Si 2.56
Co 0.8479 0.5974 0.3704  1 Si 2.37, 5 Co 2.39-2.62, 3 Ti 2.51-2.57
Co 0.8479 0.5974 0.6296  1 Si 2.37, 5 Co 2.39-2.62, 3 Ti 2.51-2.57
Co 0.8525 0.5934 0.1216  7 Co 2.37-2.60, 3 Si 2.37-2.47, 1 Ti 2.63
Co 0.8525 0.5934 0.8784  7 Co 2.37-2.60, 3 Si 2.37-2.47, 1 Ti 2.63
Si 0.2244 0.7756 0.0000  11 Co 2.38-2.56
Si 0.5000 0.5000 0.2441  9 Co 2.37-2.54
Si 0.5000 0.5000 0.7559  9 Co 2.37-2.54
Si 0.7756 0.2244 0.0000  11 Co 2.38-2.56

electronic total energy	-7.2532	eV/atom
DOS at the Fermi energy	9.1	states/eV/f.u.
space-group type	Cmmm (65)
formation energy without anion corrections	-259	meV/atom


# 3
## TiCoSi2 (PBE)

Data for TiCoSi2 after structural relaxation.

Cell lengths 8.8481, 8.8481, 8.8481 Å; angles 155.82, 155.82, 34.46 degrees
With the nearest neighbours (Å) after each atom.
Positions (direct):
Ti 0.0000 0.0000 0.0000  4 Si 2.54, 4 Co 2.62
Ti 0.7500 0.2500 0.5000  4 Si 2.54, 4 Co 2.62
Co 0.2500 0.7500 0.5000  4 Si 2.44, 4 Ti 2.62
Co 0.5000 0.5000 0.0000  4 Si 2.44, 4 Ti 2.62
Si 0.1606 0.6250 0.0356  2 Co 2.44, 2 Si 2.44, 2 Ti 2.54
Si 0.3750 0.4106 0.5356  2 Co 2.44, 2 Si 2.44, 2 Ti 2.54
Si 0.5894 0.1250 0.9644  2 Co 2.44, 2 Si 2.44, 2 Ti 2.54
Si 0.8750 0.8394 0.4644  2 Co 2.44, 2 Si 2.44, 2 Ti 2.54

electronic total energy	-6.5060	eV/atom
DOS at the Fermi energy	3.6	states/eV/f.u.
space-group type	I-42d (122)
formation energy without anion corrections	-44	meV/atom


# 4
## Ti2CoSi (PBE)

Data for Ti2CoSi after structural relaxation.

Cell lengths 4.2557, 4.2557, 4.2557 Å; angles 60.00, 60.00, 60.00 degrees
With the nearest neighbours (Å) after each atom.
Positions (direct):
Ti 0.0000 0.0000 0.0000  4 Si 2.61, 4 Ti 2.61
Ti 0.2500 0.2500 0.2500  4 Co 2.61, 4 Ti 2.61
Co 0.5000 0.5000 0.5000  4 Ti 2.61, 4 Si 2.61
Si 0.7500 0.7500 0.7500  4 Co 2.61, 4 Ti 2.61

electronic total energy	-7.4411	eV/atom
DOS at the Fermi energy	1.0	states/eV/f.u.
space-group type	F-43m (216)
formation energy without anion corrections	-361	meV/atom


# 5
## Ti2Co4Si (PBE)

Data for Ti2Co4Si after structural relaxation.

Cell lengths 6.6434, 6.6434, 6.6434 Å; angles 144.08, 144.08, 51.71 degrees
With the nearest neighbours (Å) after each atom.
Positions (direct):
Ti 0.1374 0.1374 0.0000  1 Co 2.12
Ti 0.8626 0.8626 0.0000  1 Co 2.12
Co 0.0000 0.5000 0.5000  2 Si 2.05
Co 0.3145 0.3145 0.0000  1 Ti 2.12, 1 Si 2.22
Co 0.5000 0.0000 0.5000  2 Si 2.05
Co 0.6855 0.6855 0.0000  1 Ti 2.12, 1 Si 2.22
Si 0.5000 0.5000 0.0000  6 Co 2.05-2.22

electronic total energy	-6.7508	eV/atom
DOS at the Fermi energy	7.3	states/eV/f.u.
space-group type	I4/mmm (139)
formation energy without anion corrections	340	meV/atom


# 6
## TiTlCoSi2 (PBE)

Data for TiTlCoSi2 after structural relaxation.

Cell lengths 4.7516, 4.7516, 5.2672 Å; angles 90.00, 90.00, 90.00 degrees
With the nearest neighbours (Å) after each atom.
Positions (direct):
Ti 0.0000 0.0000 0.0000  4 Si 2.38, 2 Tl 2.63
Tl 0.0000 0.0000 0.5000  2 Ti 2.63
Co 0.5000 0.5000 0.5000  4 Tl 3.36, 8 Si 3.55
Si 0.0000 0.5000 0.0000  2 Ti 2.38
Si 0.5000 0.0000 0.0000  2 Ti 2.38

electronic total energy	-4.5352	eV/atom
DOS at the Fermi energy	5.4	states/eV/f.u.
space-group type	P4/mmm (123)
formation energy without anion corrections	1107	meV/atom


# 7
## Y2TiCoSi (PBE)

Data for Y2TiCoSi after structural relaxation.

Cell lengths 5.2184, 5.2184, 4.7247 Å; angles 90.00, 90.00, 90.00 degrees
With the nearest neighbours (Å) after each atom.
Positions (direct):
Y 0.0000 0.5000 0.0000  2 Ti 2.61
Y 0.5000 0.0000 0.0000  2 Ti 2.61
Ti 0.0000 0.0000 0.0000  2 Si 2.36, 4 Y 2.61
Co 0.5000 0.5000 0.5000  8 Y 3.52, 4 Si 3.69
Si 0.0000 0.0000 0.5000  2 Ti 2.36

electronic total energy	-5.8128	eV/atom
DOS at the Fermi energy	5.6	states/eV/f.u.
space-group type	P4/mmm (123)
formation energy without anion corrections	858	meV/atom


# 8
## Ti2ZnCo5Si2 (PBE)

Data for Ti2ZnCo5Si2 after structural relaxation.

Cell lengths 8.6844, 8.6844, 3.2935 Å; angles 90.00, 90.00, 90.00 degrees
With the nearest neighbours (Å) after each atom.
Positions (direct):
Ti 0.1750 0.3250 0.0000  3 Si 2.49-2.62, 2 Co 2.71
Ti 0.3250 0.8250 0.0000  3 Si 2.49-2.62, 2 Co 2.71
Ti 0.6750 0.1750 0.0000  3 Si 2.49-2.62, 2 Co 2.71
Ti 0.8250 0.6750 0.0000  3 Si 2.49-2.62, 2 Co 2.71
Zn 0.0000 0.0000 0.0000  8 Co 2.53
Zn 0.5000 0.5000 0.0000  8 Co 2.53
Co 0.0000 0.5000 0.5000  4 Si 2.23
Co 0.0684 0.7902 0.5000  2 Si 2.25
Co 0.2098 0.0684 0.5000  2 Si 2.25
Co 0.2902 0.5684 0.5000  2 Si 2.25
Co 0.4316 0.2902 0.5000  2 Si 2.25
Co 0.5000 0.0000 0.5000  4 Si 2.23
Co 0.5684 0.7098 0.5000  2 Si 2.25
Co 0.7098 0.4316 0.5000  2 Si 2.25
Co 0.7902 0.9316 0.5000  2 Si 2.25
Co 0.9316 0.2098 0.5000  2 Si 2.25
Si 0.1225 0.6225 0.0000  6 Co 2.23-2.25, 1 Ti 2.49
Si 0.3775 0.1225 0.0000  6 Co 2.23-2.25, 1 Ti 2.49
Si 0.6225 0.8775 0.0000  6 Co 2.23-2.25, 1 Ti 2.49
Si 0.8775 0.3775 0.0000  6 Co 2.23-2.25, 1 Ti 2.49

electronic total energy	-6.7603	eV/atom
DOS at the Fermi energy	6.1	states/eV/f.u.
space-group type	P4/mbm (127)
formation energy without anion corrections	-416	meV/atom


# 9
## TlCoSi (PBE)

Data for TlCoSi after structural relaxation.

Cell lengths 3.1675, 3.1675, 6.0446 Å; angles 90.00, 90.00, 120.00 degrees
With the nearest neighbours (Å) after each atom.
Positions (direct):
Tl 0.0000 0.0000 0.0000  3 Co 2.84, 3 Si 3.15, 6 Tl 3.17
Co 0.6667 0.3333 0.3588  3 Si 2.25
Si 0.3333 0.6667 0.5760  3 Co 2.25

electronic total energy	-4.6820	eV/atom
DOS at the Fermi energy	1.4	states/eV/f.u.
space-group type	P3m1 (156)
formation energy without anion corrections	283	meV/atom


# 10
## TlCoSi2 (PBE)

Data for TlCoSi2 after structural relaxation.

Cell lengths 4.6280, 4.6280, 3.4075 Å; angles 90.00, 90.00, 112.21 degrees
With the nearest neighbours (Å) after each atom.
Positions (direct):
Tl 0.0000 0.0000 0.0000  2 Co 2.58, 8 Si 2.87
Co 0.5000 0.5000 0.0000  2 Tl 2.58, 8 Si 2.87
Si 0.0000 0.5000 0.5000  2 Si 2.58, 4 Tl 2.87, 4 Co 2.87
Si 0.5000 0.0000 0.5000  2 Si 2.58, 4 Tl 2.87, 4 Co 2.87

electronic total energy	-4.3766	eV/atom
DOS at the Fermi energy	2.5	states/eV/f.u.
space-group type	Cmmm (65)
formation energy without anion corrections	703	meV/atom


# 11
## TlCo3Si (PBE)

Data for TlCo3Si after structural relaxation.

Cell lengths 4.7551, 4.7551, 4.7551 Å; angles 90.00, 90.00, 90.00 degrees
With the nearest neighbours (Å) after each atom.
Positions (direct):
Tl 0.0000 0.0000 0.0000  6 Co 2.38
Co 0.0000 0.0000 0.5000  2 Tl 2.38
Co 0.0000 0.5000 0.0000  2 Tl 2.38
Co 0.5000 0.0000 0.0000  2 Tl 2.38
Si 0.5000 0.5000 0.5000  12 Co 3.36

electronic total energy	-3.9435	eV/atom
DOS at the Fermi energy	12.9	states/eV/f.u.
space-group type	Pm-3m (221)
formation energy without anion corrections	1878	meV/atom


# 12
## TlCoSi3 (PBE)

Data for TlCoSi3 after structural relaxation.

Cell lengths 4.5088, 4.5088, 4.5088 Å; angles 90.00, 90.00, 90.00 degrees
With the nearest neighbours (Å) after each atom.
Positions (direct):
Tl 0.0000 0.0000 0.0000  12 Si 3.19
Co 0.5000 0.5000 0.5000  6 Si 2.25
Si 0.0000 0.5000 0.5000  2 Co 2.25
Si 0.5000 0.0000 0.5000  2 Co 2.25
Si 0.5000 0.5000 0.0000  2 Co 2.25

electronic total energy	-4.8020	eV/atom
DOS at the Fermi energy	3.2	states/eV/f.u.
space-group type	Pm-3m (221)
formation energy without anion corrections	346	meV/atom


Which formula does entry 1 have?
TiCoSi2